Entry 1:
The following is a GGA-PBE calculation of crystalline Na2Tl2CdIn2 at its relaxed geometry, from Alexandria via LeMat-Bulk.

Calculated density in g/cm³: 5.95
Formation energy in meV/atom: 18

Lattice parameters (Å, degrees): 5.013 5.013 10.206 90.28 90.28 60.19
Fractional positions:
Na 0.166 0.166 0.407
Na 0.834 0.834 0.593
Tl 0.169 0.169 0.761
Tl 0.831 0.831 0.239
Cd 0.500 0.500 0.000
In 0.165 0.165 0.096
In 0.835 0.835 0.904

***

Entry 2:
The following is a GGA-PBE calculation of crystalline MgFe2Ag at its relaxed geometry, from Alexandria via LeMat-Bulk.

Calculated density in g/cm³: 6.70
Formation energy in meV/atom: 247

Lattice parameters (Å, degrees): 4.907 4.907 4.688 109.20 109.20 34.79
Fractional positions:
Mg 0.000 0.000 0.000
Fe 0.475 0.475 0.469
Fe 0.767 0.767 0.294
Ag 0.233 0.233 0.761

***

Entry 3:
The following is a GGA-PBE calculation of crystalline YMnSi at its relaxed geometry, from Alexandria via LeMat-Bulk.

Calculated density in g/cm³: 5.17
E_form (uncorrected) in eV/atom: -0.582

Lattice parameters (Å, degrees): 3.919 3.919 7.197 90.00 90.00 90.00
Fractional positions:
Y 0.250 0.250 0.169
Y 0.750 0.750 0.831
Mn 0.250 0.750 0.500
Mn 0.750 0.250 0.500
Si 0.250 0.250 0.701
Si 0.750 0.750 0.299

***

Entry 4:
The following is a GGA-PBE calculation of crystalline Pa2ZnSi4Pt3 at its relaxed geometry, from Alexandria via LeMat-Bulk.

Calculated density in g/cm³: 11.69
E_form (uncorrected) in eV/atom: -0.826

Lattice parameters (Å, degrees): 4.226 4.226 9.749 90.00 90.00 90.00
Fractional positions:
Pa 0.000 0.500 0.248
Pa 0.500 0.000 0.752
Zn 0.500 0.500 0.000
Si 0.000 0.000 0.500
Si 0.000 0.500 0.865
Si 0.500 0.000 0.135
Si 0.500 0.500 0.500
Pt 0.000 0.000 0.000
Pt 0.000 0.500 0.620
Pt 0.500 0.000 0.380

***

Entry 5:
The following is a GGA-PBE calculation of crystalline Rb2ReAgGe at its relaxed geometry, from Alexandria via LeMat-Bulk.

Calculated density in g/cm³: 3.97
Formation energy in meV/atom: 1001

Lattice parameters (Å, degrees): 6.858 6.858 4.780 90.00 90.00 90.00
Fractional positions:
Rb 0.000 0.500 0.000
Rb 0.500 0.000 0.000
Re 0.000 0.000 0.000
Ag 0.500 0.500 0.500
Ge 0.000 0.000 0.500

***

Entry 6:
The following is a GGA-PBE calculation of crystalline LaNiSe2 at its relaxed geometry, from Alexandria via LeMat-Bulk.

Calculated density in g/cm³: 6.81
E_form (uncorrected) in eV/atom: -0.826

Lattice parameters (Å, degrees): 4.967 4.967 4.967 60.00 60.00 60.00
Fractional positions:
La 0.000 0.000 0.000
Ni 0.500 0.500 0.500
Se 0.250 0.250 0.250
Se 0.750 0.750 0.750

***

Entry 7:
The following is a GGA-PBE calculation of crystalline CsNi3Se3 at its relaxed geometry, from Alexandria via LeMat-Bulk.

Calculated density in g/cm³: 5.38
E_form (uncorrected) in eV/atom: -0.519

Lattice parameters (Å, degrees): 9.425 9.425 4.385 90.00 90.00 120.00
Fractional positions:
Cs 0.333 0.667 0.250
Cs 0.667 0.333 0.750
Ni 0.030 0.841 0.250
Ni 0.159 0.189 0.250
Ni 0.189 0.030 0.750
Ni 0.811 0.970 0.250
Ni 0.841 0.811 0.750
Ni 0.970 0.159 0.750
Se 0.050 0.743 0.750
Se 0.257 0.306 0.750
Se 0.306 0.050 0.250
Se 0.694 0.950 0.750
Se 0.743 0.694 0.250
Se 0.950 0.257 0.250

***

Entry 8:
The following is a GGA-PBE calculation of crystalline MgB2IrC at its relaxed geometry, from Alexandria via LeMat-Bulk.

Calculated density in g/cm³: 5.30
Formation energy in meV/atom: 3321

Lattice parameters (Å, degrees): 4.046 4.046 4.786 90.00 90.00 90.00
Fractional positions:
Mg 0.000 0.000 0.000
B 0.000 0.500 0.000
B 0.500 0.000 0.000
Ir 0.000 0.000 0.500
C 0.500 0.500 0.500

***

Entry 9:
The following is a GGA-PBE calculation of crystalline TlBiN2F at its relaxed geometry, from Alexandria via LeMat-Bulk.

Calculated density in g/cm³: 9.27
Energy above the lowest structure with this stoichiometry in meV per atom: 318
E_form (uncorrected) in eV/atom: 0.832

Lattice parameters (Å, degrees): 4.344 4.344 4.368 90.00 90.00 90.00
Fractional positions:
Tl 0.000 0.000 0.000
Bi 0.500 0.500 0.500
N 0.000 0.500 0.000
N 0.500 0.000 0.000
F 0.000 0.000 0.500

***

Entry 10:
The following is a GGA-PBE calculation of crystalline AlTl at its relaxed geometry, from Alexandria via LeMat-Bulk.

Calculated density in g/cm³: 7.87
Formation energy in meV/atom: 310

Lattice parameters (Å, degrees): 5.038 5.038 5.038 40.59 40.59 40.59
Fractional positions:
Al 0.000 0.000 0.000
Tl 0.500 0.500 0.500

***

Entry 11:
The following is a GGA-PBE calculation of crystalline RbCrAs2 at its relaxed geometry, from Alexandria via LeMat-Bulk.

Calculated density in g/cm³: 5.86
Energy above the lowest structure with this stoichiometry in meV per atom: 146
Formation energy in meV/atom: -3

Lattice parameters (Å, degrees): 3.113 3.113 8.410 90.00 90.00 90.00
Fractional positions:
Rb 0.000 0.000 0.000
Cr 0.000 0.000 0.500
As 0.500 0.500 0.326
As 0.500 0.500 0.674

***

Entry 12:
The following is a GGA-PBE calculation of crystalline BeOsPd3 at its relaxed geometry, from Alexandria via LeMat-Bulk.

Calculated density in g/cm³: 7.78
Energy above the lowest structure with this stoichiometry in meV per atom: 1071
Formation energy in meV/atom: 1630

Lattice parameters (Å, degrees): 4.801 4.801 4.801 90.00 90.00 90.00
Fractional positions:
Be 0.000 0.000 0.000
Os 0.500 0.500 0.500
Pd 0.000 0.500 0.500
Pd 0.500 0.000 0.500
Pd 0.500 0.500 0.000

***

Entry 13:
The following is a GGA-PBE calculation of crystalline Sc2In2Cu at its relaxed geometry, from Alexandria via LeMat-Bulk.

Calculated density in g/cm³: 5.55
Energy above the lowest structure with this stoichiometry in meV per atom: 154
Formation energy in meV/atom: -80

Lattice parameters (Å, degrees): 6.963 6.963 4.726 90.00 90.00 90.00
Fractional positions:
Sc 0.154 0.346 0.000
Sc 0.346 0.846 0.000
Sc 0.654 0.154 0.000
Sc 0.846 0.654 0.000
In 0.156 0.656 0.500
In 0.344 0.156 0.500
In 0.656 0.844 0.500
In 0.844 0.344 0.500
Cu 0.000 0.000 0.000
Cu 0.500 0.500 0.000

***

Entry 14:
The following is a GGA-PBE calculation of crystalline SrNiW2 at its relaxed geometry, from Alexandria via LeMat-Bulk.

Calculated density in g/cm³: 11.62
Energy above the lowest structure with this stoichiometry in meV per atom: 84
Formation energy in meV/atom: 653

Lattice parameters (Å, degrees): 6.236 6.236 6.236 154.88 134.23 52.92
Fractional positions:
Sr 0.000 0.000 0.000
Ni 0.500 0.500 0.000
W 0.293 0.793 0.500
W 0.707 0.207 0.500

***

Entry 15:
The following is a GGA-PBE calculation of crystalline Cu3RhBr at its relaxed geometry, from Alexandria via LeMat-Bulk.

Calculated density in g/cm³: 5.93
Energy above the lowest structure with this stoichiometry in meV per atom: 0
E_form (uncorrected) in eV/atom: 0.948

Lattice parameters (Å, degrees): 4.711 4.711 4.711 90.00 90.00 90.00
Fractional positions:
Cu 0.000 0.000 0.500
Cu 0.000 0.500 0.000
Cu 0.500 0.000 0.000
Rh 0.000 0.000 0.000
Br 0.500 0.500 0.500

***

Entry 16:
The following is a GGA-PBE calculation of crystalline Pm4Er3Sb4 at its relaxed geometry, from Alexandria via LeMat-Bulk.

Calculated density in g/cm³: 8.00
E_form (uncorrected) in eV/atom: -0.759

Lattice parameters (Å, degrees): 10.209 10.209 10.209 157.25 127.34 58.08
Fractional positions:
Pm 0.006 0.832 0.174
Pm 0.342 0.168 0.174
Pm 0.658 0.832 0.826
Pm 0.994 0.168 0.826
Er 0.000 0.500 0.500
Er 0.404 0.404 0.000
Er 0.596 0.596 0.000
Sb 0.274 0.774 0.500
Sb 0.290 0.000 0.290
Sb 0.710 0.000 0.710
Sb 0.726 0.226 0.500

***

Entry 17:
The following is a GGA-PBE calculation of crystalline AcSm2ErSe6 at its relaxed geometry, from Alexandria via LeMat-Bulk.

Calculated density in g/cm³: 6.12
E_form (uncorrected) in eV/atom: -1.868

Lattice parameters (Å, degrees): 7.875 7.875 7.875 56.49 56.49 56.49
Fractional positions:
Ac 0.000 0.000 0.000
Sm 0.287 0.287 0.287
Sm 0.795 0.795 0.795
Er 0.488 0.488 0.488
Se 0.088 0.663 0.422
Se 0.205 0.584 0.881
Se 0.422 0.088 0.663
Se 0.584 0.881 0.205
Se 0.663 0.422 0.088
Se 0.881 0.205 0.584

***

Entry 18:
The following is a GGA-PBE calculation of crystalline Ag2SnSb at its relaxed geometry, from Alexandria via LeMat-Bulk.

Calculated density in g/cm³: 8.37
E_form (uncorrected) in eV/atom: 0.100

Lattice parameters (Å, degrees): 4.599 4.599 4.279 90.00 90.00 90.00
Fractional positions:
Ag 0.000 0.500 0.000
Ag 0.500 0.000 0.000
Sn 0.000 0.000 0.500
Sb 0.500 0.500 0.500

***

Entry 19:
The following is a GGA-PBE calculation of crystalline Zn2CuNiH at its relaxed geometry, from Alexandria via LeMat-Bulk.

Calculated density in g/cm³: 7.77
VASP energy in eV per atom: -3.17

Lattice parameters (Å, degrees): 4.147 4.147 3.156 90.00 90.00 90.00
Fractional positions:
Zn 0.000 0.500 0.000
Zn 0.500 0.000 0.000
Cu 0.000 0.000 0.500
Ni 0.500 0.500 0.500
H 0.500 0.500 0.000

***

Entry 20:
The following is a GGA-PBE calculation of crystalline ZnN3O at its relaxed geometry, from Alexandria via LeMat-Bulk.

Calculated density in g/cm³: 4.68
E_form (uncorrected) in eV/atom: 2.583

Lattice parameters (Å, degrees): 3.525 3.525 3.525 90.00 90.00 90.00
Fractional positions:
Zn 0.000 0.000 0.000
N 0.000 0.500 0.500
N 0.500 0.000 0.500
N 0.500 0.500 0.000
O 0.500 0.500 0.500

***

Entry 21:
The following is a GGA-PBE calculation of crystalline Sc4CoHg at its relaxed geometry, from Alexandria via LeMat-Bulk.

Calculated density in g/cm³: 5.79
Energy above the lowest structure with this stoichiometry in meV per atom: 761
Formation energy in meV/atom: 453

Lattice parameters (Å, degrees): 5.628 5.628 5.628 60.00 60.00 60.00
Fractional positions:
Sc 0.124 0.124 0.124
Sc 0.124 0.124 0.627
Sc 0.124 0.627 0.124
Sc 0.627 0.124 0.124
Co 0.750 0.750 0.750
Hg 0.500 0.500 0.500

***

Entry 22:
The following is a GGA-PBE calculation of crystalline YEr3Pb12 at its relaxed geometry, from Alexandria via LeMat-Bulk.

Calculated density in g/cm³: 11.04
Formation energy in meV/atom: -257

Lattice parameters (Å, degrees): 4.909 4.909 19.212 90.00 90.00 90.00
Fractional positions:
Y 0.000 0.000 0.000
Er 0.000 0.000 0.250
Er 0.000 0.000 0.500
Er 0.000 0.000 0.750
Pb 0.000 0.500 0.126
Pb 0.000 0.500 0.375
Pb 0.000 0.500 0.625
Pb 0.000 0.500 0.874
Pb 0.500 0.000 0.126
Pb 0.500 0.000 0.375
Pb 0.500 0.000 0.625
Pb 0.500 0.000 0.874
Pb 0.500 0.500 0.000
Pb 0.500 0.500 0.251
Pb 0.500 0.500 0.500
Pb 0.500 0.500 0.749

***

Entry 23:
The following is a GGA-PBE calculation of crystalline Ca2HfBr at its relaxed geometry, from Alexandria via LeMat-Bulk.

Calculated density in g/cm³: 4.44
Energy above the lowest structure with this stoichiometry in meV per atom: 168
E_form (uncorrected) in eV/atom: 0.360

Lattice parameters (Å, degrees): 5.637 5.637 5.637 60.00 60.00 60.00
Fractional positions:
Ca 0.250 0.250 0.250
Ca 0.750 0.750 0.750
Hf 0.000 0.000 0.000
Br 0.500 0.500 0.500

***

Entry 24:
The following is a GGA-PBE calculation of crystalline KIn6Au at its relaxed geometry, from Alexandria via LeMat-Bulk.

Calculated density in g/cm³: 6.67
Formation energy in meV/atom: -155

Lattice parameters (Å, degrees): 4.991 4.991 9.242 90.00 90.00 90.00
Fractional positions:
K 0.000 0.000 0.000
In 0.000 0.500 0.332
In 0.000 0.500 0.668
In 0.500 0.000 0.332
In 0.500 0.000 0.668
In 0.500 0.500 0.154
In 0.500 0.500 0.846
Au 0.000 0.000 0.500

***

Entry 25:
The following is a GGA-PBE calculation of crystalline SbTeIr at its relaxed geometry, from Alexandria via LeMat-Bulk.

Calculated density in g/cm³: 9.33
E_form (uncorrected) in eV/atom: -0.064

Lattice parameters (Å, degrees): 4.019 6.891 6.910 109.00 106.62 106.82
Fractional positions:
Sb 0.142 0.483 0.298
Sb 0.858 0.517 0.702
Te 0.240 0.118 0.859
Te 0.760 0.882 0.141
Ir 0.129 0.230 0.526
Ir 0.871 0.770 0.474

***

Entry 26:
The following is a GGA-PBE calculation of crystalline NaNdSm2 at its relaxed geometry, from Alexandria via LeMat-Bulk.

Calculated density in g/cm³: 5.41
Energy above the lowest structure with this stoichiometry in meV per atom: 38
Formation energy in meV/atom: 155

Lattice parameters (Å, degrees): 13.110 13.110 13.110 15.69 15.69 15.69
Fractional positions:
Na 0.000 0.000 0.000
Nd 0.500 0.500 0.500
Sm 0.091 0.091 0.091
Sm 0.909 0.909 0.909

***

The magnetization results, record by record, are as follows: 0.00; 4.92; 3.77; 0.00; 2.23; 1.00; 0.00; 0.00; 0.33; 0.00; 0.94; 0.00; 0.00; 0.00; 1.00; 0.00; 0.00; 0.00; 0.00; 0.00; 2.07; 0.00; 3.53; 0.00; 0.00; 0.00 μB/cell.